Here is SnTeAu after structural relaxation from the Alexandria database. Energies are from PBE.

Cell lengths 4.3873, 5.5756, 6.8604 Å; angles 90.00, 90.00, 90.00 degrees
Atoms (fractional coordinates):
Sn 0.0000 0.0339 0.0000
Sn 0.5000 0.9661 0.5000
Te 0.0000 0.4597 0.7431
Te 0.5000 0.5403 0.2431
Au 0.0000 0.2372 0.3701
Au 0.5000 0.7628 0.8701

Computed properties:
Volume ... 168 Å³/cell
E ... -21.9 eV per cell
Formation energy from raw total energies ... -0.176 eV/atom